{
  "formula": "La2FeIr",
  "functional": "PBEsol",
  "state": "optimized geometry",
  "e_form_ev_per_atom": -0.211,
  "sg": "Pm (6)",
  "volume_a3_per_atom": 23.29,
  "total_magnetization_mub_per_fu": 1.4,
  "energy_ev_per_atom": -7.5808,
  "lattice": [[4.244, 0.000, 0.000], [0.000, 4.110, 0.000], [-2.118, 0.000, 5.341]],
  "species": ["La", "La", "Fe", "Ir"],
  "fractional_positions": [[0.000, 0.000, 0.000], [0.294, 0.500, 0.587], [0.587, 0.500, 0.176], [0.708, 0.000, 0.414]]
}